A relaxed InSi5Mo3 crystal, computed with GGA-PBE.

a = 5.4275 Å, b = 5.4275 Å, c = 6.3764 Å
α = 90.00°, β = 90.00°, γ = 120.00°
Space group P6/mmm (No. 191)
Unique sites:
In 0.0000 0.0000 0.0000 x1
Si 0.0000 0.0000 0.5000 x1
Si 0.3333 0.6667 0.1842 x4
Mo 0.0000 0.5000 0.5000 x3

Output
Calculated total energy, eV/atom: -6.80

=====

A relaxed InSiMo crystal, computed with GGA-PBE.

a = 6.0670 Å, b = 6.0670 Å, c = 6.0670 Å
α = 90.00°, β = 90.00°, γ = 90.00°
Space group F-43m (No. 216)
Unique sites:
In 0.0000 0.0000 0.0000 x4
Si 0.2500 0.2500 0.2500 x4
Mo 0.0000 0.0000 0.5000 x4

Output
Calculated total energy, eV/atom: -5.84

=====

A relaxed SmInMo crystal, computed with GGA-PBE.

a = 7.0671 Å, b = 7.0671 Å, c = 7.0671 Å
α = 90.00°, β = 90.00°, γ = 90.00°
Space group F-43m (No. 216)
Unique sites:
Sm 0.0000 0.0000 0.0000 x4
In 0.2500 0.2500 0.7500 x4
Mo 0.2500 0.2500 0.2500 x4

Output
Calculated total energy, eV/atom: -4.97

=====

A relaxed InSn2Mo crystal, computed with GGA-PBE.

a = 7.1461 Å, b = 7.1461 Å, c = 7.1461 Å
α = 90.00°, β = 90.00°, γ = 90.00°
Space group F-43m (No. 216)
Unique sites:
In 0.0000 0.0000 0.0000 x4
Sn 0.0000 0.0000 0.5000 x4
Sn 0.2500 0.2500 0.7500 x4
Mo 0.2500 0.2500 0.2500 x4

Output
Calculated total energy, eV/atom: -4.74

=====

A relaxed InSn5Mo3 crystal, computed with GGA-PBE.

a = 5.5248 Å, b = 5.5248 Å, c = 8.2868 Å
α = 90.00°, β = 90.00°, γ = 120.00°
Space group P6/mmm (No. 191)
Unique sites:
In 0.0000 0.0000 0.0000 x1
Sn 0.0000 0.0000 0.5000 x1
Sn 0.3333 0.6667 0.2058 x4
Mo 0.0000 0.5000 0.5000 x3

Output
Calculated total energy, eV/atom: -5.98

=====

A relaxed SrInMo crystal, computed with GGA-PBE.

a = 7.1093 Å, b = 7.1093 Å, c = 7.1093 Å
α = 90.00°, β = 90.00°, γ = 90.00°
Space group F-43m (No. 216)
Unique sites:
Sr 0.0000 0.0000 0.0000 x4
In 0.0000 0.0000 0.5000 x4
Mo 0.2500 0.2500 0.7500 x4

Output
Calculated total energy, eV/atom: -4.22